# 1
# K3Hg4Pd4 PBE relaxed
# Crystal system: cubic
# ΔE_f: -0.277 eV per atom
data_K3Hg4Pd4
_cell_length_a 7.312
_cell_length_b 7.312
_cell_length_c 7.312
_cell_angle_alpha 109.47
_cell_angle_beta 109.47
_cell_angle_gamma 109.47
_symmetry_space_group_name_H-M 'P 1'
_symmetry_Int_Tables_number 1
loop_
_symmetry_equiv_pos_as_xyz
'x,y,z'
loop_
_atom_site_label
_atom_site_type_symbol
_atom_site_fract_x
_atom_site_fract_y
_atom_site_fract_z
_atom_site_occupancy
Pd1 Pd 0.233 0.000 0.000 1
Pd2 Pd 0.000 0.233 0.000 1
Pd3 Pd 0.767 0.767 0.767 1
Pd4 Pd 0.000 0.000 0.233 1
K1 K 0.500 0.000 0.500 1
K2 K 0.500 0.500 0.000 1
K3 K 0.000 0.500 0.500 1
Hg1 Hg 0.000 0.600 0.000 1
Hg2 Hg 0.400 0.400 0.400 1
Hg3 Hg 0.600 0.000 0.000 1
Hg4 Hg 0.000 0.000 0.600 1


# 2
# KNa2ZnHg PBE relaxed
# Crystal system: tetragonal
# ΔE_f: 0.002 eV per atom
data_KNa2ZnHg
_cell_length_a 5.958
_cell_length_b 5.958
_cell_length_c 5.087
_cell_angle_alpha 90.00
_cell_angle_beta 90.00
_cell_angle_gamma 90.00
_symmetry_space_group_name_H-M 'P 1'
_symmetry_Int_Tables_number 1
loop_
_symmetry_equiv_pos_as_xyz
'x,y,z'
loop_
_atom_site_label
_atom_site_type_symbol
_atom_site_fract_x
_atom_site_fract_y
_atom_site_fract_z
_atom_site_occupancy
Hg1 Hg 0.000 0.000 0.000 1
Zn1 Zn 0.000 0.000 0.500 1
Na1 Na 0.500 0.000 0.000 1
Na2 Na 0.000 0.500 0.000 1
K1 K 0.500 0.500 0.500 1


# 3
# Pm2HgC PBE relaxed
# Crystal system: trigonal
# Energy above the lowest structure with this stoichiometry: 0 meV/atom
# ΔE_f: -0.273 eV per atom
data_Pm2HgC
_cell_length_a 3.689
_cell_length_b 3.689
_cell_length_c 8.439
_cell_angle_alpha 77.38
_cell_angle_beta 77.38
_cell_angle_gamma 60.00
_symmetry_space_group_name_H-M 'P 1'
_symmetry_Int_Tables_number 1
loop_
_symmetry_equiv_pos_as_xyz
'x,y,z'
loop_
_atom_site_label
_atom_site_type_symbol
_atom_site_fract_x
_atom_site_fract_y
_atom_site_fract_z
_atom_site_occupancy
Pm1 Pm 0.276 0.276 0.173 1
Pm2 Pm 0.058 0.058 0.826 1
Hg1 Hg 0.500 0.500 0.499 1
C1 C 0.666 0.666 0.002 1


# 4
# HgGe2Bi2 PBE relaxed
# Crystal system: tetragonal
# Energy above the lowest structure with this stoichiometry: 0 meV/atom
# ΔE_f: 0.178 eV per atom
data_HgGe2Bi2
_cell_length_a 4.613
_cell_length_b 4.613
_cell_length_c 7.963
_cell_angle_alpha 73.16
_cell_angle_beta 73.16
_cell_angle_gamma 90.00
_symmetry_space_group_name_H-M 'P 1'
_symmetry_Int_Tables_number 1
loop_
_symmetry_equiv_pos_as_xyz
'x,y,z'
loop_
_atom_site_label
_atom_site_type_symbol
_atom_site_fract_x
_atom_site_fract_y
_atom_site_fract_z
_atom_site_occupancy
Bi1 Bi 0.375 0.375 0.250 1
Bi2 Bi 0.625 0.625 0.750 1
Ge1 Ge 0.250 0.750 0.500 1
Ge2 Ge 0.750 0.250 0.500 1
Hg1 Hg 0.000 0.000 0.000 1


# 5
# AsAuS PBE relaxed
# Crystal system: triclinic
# Raw formation energy: 0.40 eV per formula unit
data_AsAuS
_cell_length_a 3.260
_cell_length_b 5.521
_cell_length_c 10.076
_cell_angle_alpha 118.43
_cell_angle_beta 89.89
_cell_angle_gamma 90.10
_symmetry_space_group_name_H-M 'P 1'
_symmetry_Int_Tables_number 1
loop_
_symmetry_equiv_pos_as_xyz
'x,y,z'
loop_
_atom_site_label
_atom_site_type_symbol
_atom_site_fract_x
_atom_site_fract_y
_atom_site_fract_z
_atom_site_occupancy
S1 S 0.375 0.693 0.102 1
S2 S 0.877 0.401 0.698 1
As1 As 0.876 0.926 0.050 1
As2 As 0.376 0.168 0.750 1
Au1 Au 0.872 0.374 0.284 1
Au2 Au 0.372 0.721 0.516 1


# 6
# Sr5Tl PBE relaxed
# Crystal system: orthorhombic
# Energy above the lowest structure with this stoichiometry: 63 meV/atom
# ΔE_f: -0.077 eV per atom
data_Sr5Tl
_cell_length_a 9.761
_cell_length_b 9.761
_cell_length_c 6.346
_cell_angle_alpha 90.00
_cell_angle_beta 90.00
_cell_angle_gamma 152.60
_symmetry_space_group_name_H-M 'P 1'
_symmetry_Int_Tables_number 1
loop_
_symmetry_equiv_pos_as_xyz
'x,y,z'
loop_
_atom_site_label
_atom_site_type_symbol
_atom_site_fract_x
_atom_site_fract_y
_atom_site_fract_z
_atom_site_occupancy
Sr1 Sr 0.639 0.361 0.000 1
Sr2 Sr 0.972 0.028 0.000 1
Sr3 Sr 0.784 0.216 0.500 1
Sr4 Sr 0.308 0.692 0.000 1
Sr5 Sr 0.493 0.507 0.500 1
Tl1 Tl 0.138 0.862 0.500 1


# 7
# SrHo4Cd5 PBE relaxed
# Crystal system: tetragonal
# ΔE_f: -0.316 eV per atom
data_SrHo4Cd5
_cell_length_a 3.777
_cell_length_b 3.777
_cell_length_c 19.033
_cell_angle_alpha 90.00
_cell_angle_beta 90.00
_cell_angle_gamma 90.00
_symmetry_space_group_name_H-M 'P 1'
_symmetry_Int_Tables_number 1
loop_
_symmetry_equiv_pos_as_xyz
'x,y,z'
loop_
_atom_site_label
_atom_site_type_symbol
_atom_site_fract_x
_atom_site_fract_y
_atom_site_fract_z
_atom_site_occupancy
Cd1 Cd 0.500 0.500 0.119 1
Cd2 Cd 0.500 0.500 0.307 1
Cd3 Cd 0.500 0.500 0.881 1
Cd4 Cd 0.500 0.500 0.693 1
Cd5 Cd 0.500 0.500 0.500 1
Ho1 Ho 0.000 0.000 0.596 1
Ho2 Ho 0.000 0.000 0.404 1
Ho3 Ho 0.000 0.000 0.789 1
Ho4 Ho 0.000 0.000 0.211 1
Sr1 Sr 0.000 0.000 0.000 1


# 8
# Pm3Nd8Er PBE relaxed
# Crystal system: orthorhombic
# ΔE_f: 0.303 eV per atom
data_Pm3Nd8Er
_cell_length_a 8.823
_cell_length_b 8.823
_cell_length_c 8.823
_cell_angle_alpha 96.95
_cell_angle_beta 99.63
_cell_angle_gamma 135.38
_symmetry_space_group_name_H-M 'P 1'
_symmetry_Int_Tables_number 1
loop_
_symmetry_equiv_pos_as_xyz
'x,y,z'
loop_
_atom_site_label
_atom_site_type_symbol
_atom_site_fract_x
_atom_site_fract_y
_atom_site_fract_z
_atom_site_occupancy
Nd1 Nd 0.019 0.258 0.760 1
Nd2 Nd 0.836 0.751 0.587 1
Nd3 Nd 0.164 0.751 0.915 1
Nd4 Nd 0.498 0.259 0.240 1
Nd5 Nd 0.981 0.741 0.240 1
Nd6 Nd 0.502 0.742 0.760 1
Nd7 Nd 0.836 0.249 0.085 1
Nd8 Nd 0.164 0.249 0.413 1
Pm1 Pm 0.500 0.256 0.756 1
Pm2 Pm 0.500 0.744 0.244 1
Pm3 Pm 0.000 0.500 0.500 1
Er1 Er 0.000 0.000 0.000 1


# 9
# NaHf2CdP PBE relaxed
# Crystal system: tetragonal
# ΔE_f: 1.527 eV per atom
data_NaHf2CdP
_cell_length_a 5.014
_cell_length_b 4.708
_cell_length_c 5.014
_cell_angle_alpha 90.00
_cell_angle_beta 90.00
_cell_angle_gamma 90.00
_symmetry_space_group_name_H-M 'P 1'
_symmetry_Int_Tables_number 1
loop_
_symmetry_equiv_pos_as_xyz
'x,y,z'
loop_
_atom_site_label
_atom_site_type_symbol
_atom_site_fract_x
_atom_site_fract_y
_atom_site_fract_z
_atom_site_occupancy
Hf1 Hf 0.500 0.000 0.000 1
Hf2 Hf 0.000 0.000 0.500 1
Na1 Na 0.000 0.000 0.000 1
Cd1 Cd 0.000 0.500 0.000 1
P1 P 0.500 0.500 0.500 1


# 10
# LaRe2Ni PBE relaxed
# Crystal system: trigonal
# Energy above the lowest structure with this stoichiometry: 0 meV/atom
# ΔE_f: 0.093 eV per atom
data_LaRe2Ni
_cell_length_a 5.752
_cell_length_b 5.752
_cell_length_c 5.752
_cell_angle_alpha 44.06
_cell_angle_beta 44.06
_cell_angle_gamma 44.06
_symmetry_space_group_name_H-M 'P 1'
_symmetry_Int_Tables_number 1
loop_
_symmetry_equiv_pos_as_xyz
'x,y,z'
loop_
_atom_site_label
_atom_site_type_symbol
_atom_site_fract_x
_atom_site_fract_y
_atom_site_fract_z
_atom_site_occupancy
Ni1 Ni 0.308 0.308 0.308 1
Re1 Re 0.696 0.696 0.696 1
Re2 Re 0.997 0.997 0.997 1
La1 La 0.498 0.498 0.498 1


Number 1: Fermi-level density of states 2.95 states/eV/cell. Number 2: Fermi-level density of states 2.82 states/eV/cell. Number 3: Fermi-level density of states 3.23 states/eV/cell. Number 4: Fermi-level density of states 1.34 states/eV/cell. Number 5: Fermi-level density of states 0.37 states/eV/cell. Number 6: Fermi-level density of states 5.32 states/eV/cell. Number 7: Fermi-level density of states 8.76 states/eV/cell. Number 8: Fermi-level density of states 16.23 states/eV/cell. Number 9: Fermi-level density of states 2.38 states/eV/cell. Number 10: Fermi-level density of states 3.17 states/eV/cell.